VASP calculation (PBEsol) on an optimized crystal structure of Ta4Fe3.

```
Ta4Fe3
1.0
-1.5371 1.5371 10.8271
1.5371 -1.5371 10.8271
1.5371 1.5371 -10.8271
Ta Fe
4 3
direct
0.0693 0.0693 0.0000
0.3459 0.3459 0.0000
0.6541 0.6541 0.0000
0.9307 0.9307 0.0000
0.2185 0.2185 0.0000
0.5000 0.5000 0.0000
0.7815 0.7815 0.0000
```

Output
**E**: -11.11 eV/atom
**Density**: 14.465 g cm⁻³
**Symmetry**: I4/mmm
**Energy relative to the lowest polymorph listed for this composition**: 76.0 meV per atom
**Total magnetization**: 3.60 μB per formula unit